# PuGa3Tc (PBE-GGA, optimized geometry)
data_PuGa3Tc
_symmetry_space_group_name_H-M 'P m -3 m'
_symmetry_Int_Tables_number 221
_symmetry_space_group_name_Hall '-P 4 2 3'
_cell_length_a 4.7751
_cell_length_b 4.7751
_cell_length_c 4.7751
_cell_angle_alpha 90.00
_cell_angle_beta 90.00
_cell_angle_gamma 90.00
loop_
_atom_site_label
_atom_site_fract_x
_atom_site_fract_y
_atom_site_fract_z
Pu1 0.0000 0.0000 0.0000
Ga1 0.0000 0.5000 0.5000
Tc1 0.5000 0.5000 0.5000
# Total energy   -6.8919 eV per atom
# Energy relative to the lowest polymorph listed for this composition   136 meV per atom
# Total magnetic moment   5.993 μB/f.u.
# Crystal system   cubic
# Formation energy   -0.7 eV/f.u.